12
Lattice="4.8705 -0.3596 -1.1541 -0.3496 6.0559 -2.0579 -0.9225 -0.2908 7.3415" Properties=species:S:1:pos:R:3 comment="RbCoF4, relaxed, DFT PBE+U" space_group="P-1 (2)" de_polymorph_mev_per_atom=0 magmom_total_mub_per_fu=4.0 pbc="T T T"
Rb 0.0175 0.9103 2.0457
Rb 3.5808 4.4953 2.0837
Co 2.3631 1.8837 4.8073
Co 1.2353 3.5219 -0.6779
F 2.6641 1.9192 3.0119
F 2.9073 2.4154 -0.6174
F -0.7890 1.4840 6.5163
F 1.4802 0.2323 4.6753
F 0.9342 3.4863 1.1175
F 0.6911 2.9901 4.7468
F 4.3873 3.9215 -2.3869
F 2.1181 5.1732 -0.5459